A plane-wave DFT calculation with PBE-GGA was carried out for Ce3Th2O9 after structural relaxation.

Cell and atoms, written as CIF:
```
data_Ce3Th2O9
_chemical_formula_sum 'Ce3 Th2 O9'
_cell_length_a 10.423
_cell_length_b 10.423
_cell_length_c 10.423
_cell_angle_alpha 158.32
_cell_angle_beta 38.37
_cell_angle_gamma 148.73
_symmetry_space_group_name_H-M 'P 1'
_symmetry_Int_Tables_number 1
loop_
_symmetry_equiv_pos_as_xyz
'x,y,z'
loop_
_atom_site_label
_atom_site_type_symbol
_atom_site_fract_x
_atom_site_fract_y
_atom_site_fract_z
Ce1 Ce 0.000 0.000 0.000
Ce2 Ce 0.344 0.949 0.395
Ce3 Ce 0.554 0.949 0.605
Th1 Th 0.151 0.953 0.197
Th2 Th 0.756 0.953 0.803
O1 O 0.000 0.701 0.299
O2 O 0.112 0.215 0.897
O3 O 0.221 0.721 0.500
O4 O 0.318 0.215 0.103
O5 O 0.403 0.701 0.701
O6 O 0.503 0.201 0.301
O7 O 0.630 0.718 0.912
O8 O 0.806 0.718 0.088
O9 O 0.900 0.201 0.699
```

Values from the calculation:
E_form (uncorrected) = -3614 meV per atom
E_tot = -9.13 eV/atom
crystal system = orthorhombic
symmetry = Imm2
Fermi-level density of states = 11.80 states/eV/f.u.